Record 1
! CaZr2Br PBE relaxed; values from VASP
&SYSTEM
  ibrav = 0, nat = 4, ntyp = 3
/
ATOMIC_SPECIES
Ca 40.08 Ca.upf
Zr 91.22 Zr.upf
Br 79.90 Br.upf
CELL_PARAMETERS angstrom
-6.920 8.047 0.817
-9.071 5.505 0.850
-7.602 6.481 3.676
ATOMIC_POSITIONS angstrom
Ca -17.695 15.025 4.007
Zr -12.054 10.235 2.730
Zr -23.335 19.815 5.284
Br -5.898 5.008 1.336
! uncorrected energy = -5.193 eV per atom
! calculated density = 4.99 Mg/m³
! ΔE_f (raw) = 0 kJ/mol of formula units
! magnetic moment = 0.000 μB/atom
! distance to the lowest polymorph of the same formula = 0.306 eV/atom

=====

Record 2
! PuZn4Ge2 PBE relaxed; values from VASP
&SYSTEM
  ibrav = 0, nat = 7, ntyp = 3
/
ATOMIC_SPECIES
Pu 244.00 Pu.upf
Zn 65.41 Zn.upf
Ge 72.64 Ge.upf
CELL_PARAMETERS angstrom
4.029 0.000 0.000
0.000 4.050 0.000
0.000 -2.025 7.623
ATOMIC_POSITIONS angstrom
Pu 0.000 0.000 0.000
Zn 2.015 0.000 2.851
Ge 2.015 2.025 1.265
Zn 0.000 0.000 4.702
Zn 0.000 2.025 2.921
Ge 2.015 0.000 6.358
Zn 2.015 2.025 4.772
! formation energy from the elements = -0.16 eV/atom
! uncorrected energy = -4.257 eV per atom
! calculated density = 8.69 Mg/m³
! magnetic moment = 0.796 μB/atom
! distance to the lowest polymorph of the same formula = 0.000 eV/atom

=====

Record 3
! KNaLa2Ru PBE relaxed; values from VASP
&SYSTEM
  ibrav = 0, nat = 5, ntyp = 4
/
ATOMIC_SPECIES
Ru 101.07 Ru.upf
Na 22.99 Na.upf
La 138.91 La.upf
K 39.10 K.upf
CELL_PARAMETERS angstrom
5.370 0.000 0.000
0.000 5.370 0.000
0.000 0.000 6.831
ATOMIC_POSITIONS angstrom
Ru 0.000 0.000 0.000
Na 2.685 2.685 3.415
La 0.000 2.685 0.000
K 0.000 0.000 3.415
La 2.685 0.000 0.000
! formation energy from the elements = 0.10 eV/atom
! uncorrected energy = -4.207 eV per atom
! calculated density = 3.72 Mg/m³
! magnetic moment = 0.000 μB/atom
! distance to the lowest polymorph of the same formula = 0.038 eV/atom

=====

Record 4
! Ca2TiTlO6 PBE relaxed; values from VASP
&SYSTEM
  ibrav = 0, nat = 10, ntyp = 4
/
ATOMIC_SPECIES
Ca 40.08 Ca.upf
O 16.00 O.upf
Tl 204.38 Tl.upf
Ti 47.87 Ti.upf
CELL_PARAMETERS angstrom
-3.046 -4.381 0.635
4.334 -3.043 -0.206
0.527 0.395 5.259
ATOMIC_POSITIONS angstrom
Ca 2.156 -1.537 -0.101
O 1.984 -1.967 2.620
Tl 0.804 -3.664 2.866
O 1.212 -5.429 1.547
O -0.797 -3.614 4.432
O -1.076 -3.823 1.656
Ca 0.253 0.182 2.632
O 1.491 -5.220 4.324
Ti -1.788 -2.572 0.373
O -0.768 -1.105 0.160
! uncorrected energy = -6.536 eV per atom
! calculated density = 4.71 Mg/m³
! ΔE_f (raw) = -2060 kJ/mol of formula units
! magnetic moment = 0.100 μB/atom

=====

Record 5
! K2NpSnS5 PBE relaxed; values from VASP
&SYSTEM
  ibrav = 0, nat = 18, ntyp = 4
/
ATOMIC_SPECIES
Np 237.00 Np.upf
K 39.10 K.upf
Sn 118.71 Sn.upf
S 32.06 S.upf
CELL_PARAMETERS angstrom
4.075 0.000 0.000
-2.037 8.462 0.000
0.000 0.000 14.693
ATOMIC_POSITIONS angstrom
Np 2.037 4.781 7.712
Np 0.000 3.680 0.366
K 0.000 2.579 4.491
Sn 2.037 0.288 13.840
S 2.037 2.232 7.246
S 0.000 8.294 11.535
S 2.037 3.683 2.082
S 0.000 0.835 0.572
K 0.000 1.697 10.022
K 2.037 6.765 2.676
S 0.000 6.230 14.593
S 0.000 5.399 6.032
S 0.000 4.778 9.429
K 2.037 5.882 11.838
Sn 0.000 8.173 6.493
S 2.037 3.063 13.379
S 2.037 7.627 7.919
S 2.037 0.168 4.188
! uncorrected energy = -5.405 eV per atom
! calculated density = 3.90 Mg/m³
! ΔE_f (raw) = -856 kJ/mol of formula units
! magnetic moment = 0.333 μB/atom

=====

Record 6
! Ca2AlCd2Ag5 PBE relaxed; values from VASP
&SYSTEM
  ibrav = 0, nat = 20, ntyp = 4
/
ATOMIC_SPECIES
Ag 107.87 Ag.upf
Cd 112.41 Cd.upf
Ca 40.08 Ca.upf
Al 26.98 Al.upf
CELL_PARAMETERS angstrom
-0.754 -3.504 -1.338
2.402 -4.194 9.626
-10.283 1.056 3.026
ATOMIC_POSITIONS angstrom
Ag 0.824 -3.849 4.144
Cd -7.422 -1.728 8.703
Cd -6.172 0.118 3.169
Ag -2.568 -3.282 4.570
Ag -6.066 -3.359 6.743
Cd -0.459 -1.410 3.949
Ag -0.506 -2.461 1.260
Ag -5.518 -1.224 0.844
Ca -4.907 -2.768 10.011
Al -3.940 -1.569 6.326
Ca -2.974 -0.369 2.641
Ag -3.309 -4.147 7.251
Al 0.000 0.000 0.000
Ag 0.011 -5.520 8.978
Ag -8.128 -4.180 10.054
Ca -0.146 -2.633 6.975
Ag -8.645 -1.121 2.336
Ca -7.735 -0.504 5.677
Ag -5.326 -2.495 4.063
Cd -1.708 -3.255 9.483
! formation energy from the elements = -0.13 eV/atom
! uncorrected energy = -2.517 eV per atom
! calculated density = 6.52 Mg/m³
! magnetic moment = 0.000 μB/atom

=====

Record 7
! Pr2Be3Si4Ni PBE relaxed; values from VASP
&SYSTEM
  ibrav = 0, nat = 10, ntyp = 4
/
ATOMIC_SPECIES
Si 28.09 Si.upf
Be 9.01 Be.upf
Pr 140.91 Pr.upf
Ni 58.69 Ni.upf
CELL_PARAMETERS angstrom
-0.543 -0.465 3.928
-3.487 -1.816 -0.697
4.559 -8.604 -0.388
ATOMIC_POSITIONS angstrom
Si 2.580 -5.615 1.722
Be 3.688 -7.706 1.628
Be 2.279 -4.302 -0.194
Pr 0.875 -2.396 1.867
Ni 0.264 -5.442 1.422
Si -0.036 -4.130 -0.494
Si -2.015 -1.140 1.616
Pr 1.669 -7.349 -0.638
Be -1.144 -2.039 -0.399
Si 0.000 0.000 0.000
! uncorrected energy = -5.304 eV per atom
! calculated density = 5.13 Mg/m³
! ΔE_f (raw) = -466 kJ/mol of formula units
! magnetic moment = 0.000 μB/atom

=====

Record 8
! NdSm2Mg3 PBE relaxed; values from VASP
&SYSTEM
  ibrav = 0, nat = 6, ntyp = 3
/
ATOMIC_SPECIES
Sm 150.36 Sm.upf
Mg 24.30 Mg.upf
Nd 144.24 Nd.upf
CELL_PARAMETERS angstrom
3.860 0.000 0.000
0.000 3.860 0.000
0.000 0.000 11.603
ATOMIC_POSITIONS angstrom
Sm 1.930 1.930 1.912
Mg 0.000 0.000 7.777
Nd 1.930 1.930 5.802
Sm 1.930 1.930 9.691
Mg 0.000 0.000 3.826
Mg 0.000 0.000 0.000
! formation energy from the elements = -0.10 eV/atom
! uncorrected energy = -3.269 eV per atom
! calculated density = 4.97 Mg/m³
! magnetic moment = 0.000 μB/atom